(1)
Below is crystalline LiZrFe at its relaxed geometry, with properties calculated at the PBEsol level.

Lattice parameters (Å, degrees): 2.8032 2.8032 7.2960 90.00 90.00 120.00
Closest atoms and distances in Å follow each position.
Element x y z (fractional)
Li (0.3333, 0.6667, 0.6936)  3 Fe 2.71, 6 Li 2.80
Zr (0.6667, 0.3333, 0.3148)  6 Zr 2.80, 3 Fe 2.86
Fe (0.0000, 0.0000, 0.9916)  3 Li 2.71, 6 Fe 2.80, 3 Zr 2.86

E_tot ... -6.25 eV per atom
DOS at the Fermi energy ... 3.14 states/eV/f.u.
Excess energy over the best structure of this formula in the dataset ... 0.0 meV/atom


(2)
Below is crystalline LuFe2 at its relaxed geometry, with properties calculated at the PBEsol level.

Lattice parameters (Å, degrees): 4.9401 4.9401 8.0620 90.00 90.00 120.00
Closest atoms and distances in Å follow each position.
Element x y z (fractional)
Lu (0.3333, 0.6667, 0.4377)  12 Fe 2.89-2.90, 4 Lu 3.02-3.03
Lu (0.6667, 0.3333, 0.5623)  12 Fe 2.89-2.90, 4 Lu 3.02-3.03
Lu (0.3333, 0.6667, 0.0623)  12 Fe 2.89-2.90, 4 Lu 3.02-3.03
Lu (0.6667, 0.3333, 0.9377)  12 Fe 2.89-2.90, 4 Lu 3.02-3.03
Fe (0.3334, 0.1667, 0.2500)  6 Fe 2.47
Fe (0.8333, 0.6666, 0.2500)  6 Fe 2.47
Fe (0.8333, 0.1667, 0.2500)  6 Fe 2.47
Fe (0.1667, 0.8333, 0.7500)  6 Fe 2.47
Fe (0.0000, 0.0000, 0.0000)  6 Fe 2.47
Fe (0.6666, 0.8333, 0.7500)  6 Fe 2.47
Fe (0.1667, 0.3334, 0.7500)  6 Fe 2.47
Fe (0.0000, 0.0000, 0.5000)  6 Fe 2.47

E_tot ... -7.76 eV per atom
DOS at the Fermi energy ... 2.95 states/eV/f.u.


(3)
Below is crystalline LuFe2 at its relaxed geometry, with properties calculated at the PBEsol level.

Lattice parameters (Å, degrees): 4.9450 4.9450 4.9450 60.00 60.00 60.00
Closest atoms and distances in Å follow each position.
Element x y z (fractional)
Lu (0.0000, 0.0000, 0.0000)  12 Fe 2.90, 4 Lu 3.03
Lu (0.2500, 0.2500, 0.2500)  12 Fe 2.90, 4 Lu 3.03
Fe (0.1250, 0.6250, 0.6250)  6 Fe 2.47
Fe (0.6250, 0.1250, 0.6250)  6 Fe 2.47
Fe (0.6250, 0.6250, 0.1250)  6 Fe 2.47
Fe (0.6250, 0.6250, 0.6250)  6 Fe 2.47

E_tot ... -7.78 eV per atom
DOS at the Fermi energy ... 2.55 states/eV/f.u.


(4)
Below is crystalline Lu6Fe23 at its relaxed geometry, with properties calculated at the PBEsol level.

Lattice parameters (Å, degrees): 8.1117 8.1117 8.1117 60.00 60.00 60.00
Closest atoms and distances in Å follow each position.
Element x y z (fractional)
Fe (0.6790, 0.6790, 0.9629)  9 Fe 2.30-2.48
Fe (0.0000, 0.0000, 0.5000)  8 Fe 2.35-2.51
Fe (0.8790, 0.3632, 0.8790)  7 Fe 2.41-2.51
Fe (0.6790, 0.6790, 0.6790)  9 Fe 2.30-2.48
Fe (0.3210, 0.3210, 0.0371)  9 Fe 2.30-2.48
Fe (0.8790, 0.8790, 0.8790)  7 Fe 2.41-2.51
Fe (0.0371, 0.3210, 0.3210)  9 Fe 2.30-2.48
Fe (0.6368, 0.1210, 0.1210)  7 Fe 2.41-2.51
Fe (0.5000, 0.0000, 0.0000)  8 Fe 2.35-2.51
Fe (0.5000, 0.0000, 0.5000)  8 Fe 2.35-2.51
Fe (0.1210, 0.1210, 0.6368)  7 Fe 2.41-2.51
Fe (0.8790, 0.8790, 0.3632)  7 Fe 2.41-2.51
Fe (0.6790, 0.9629, 0.6790)  9 Fe 2.30-2.48
Fe (0.0000, 0.0000, 0.0000)  8 Fe 2.41
Fe (0.1210, 0.1210, 0.1210)  7 Fe 2.41-2.51
Fe (0.3210, 0.0371, 0.3210)  9 Fe 2.30-2.48
Fe (0.3632, 0.8790, 0.8790)  7 Fe 2.41-2.51
Fe (0.0000, 0.5000, 0.0000)  8 Fe 2.35-2.51
Fe (0.9629, 0.6790, 0.6790)  9 Fe 2.30-2.48
Fe (0.3210, 0.3210, 0.3210)  9 Fe 2.30-2.48
Fe (0.1210, 0.6368, 0.1210)  7 Fe 2.41-2.51
Fe (0.5000, 0.5000, 0.0000)  8 Fe 2.35-2.51
Fe (0.0000, 0.5000, 0.5000)  8 Fe 2.35-2.51
Lu (0.7085, 0.7085, 0.2915)  12 Fe 2.77-2.92
Lu (0.2915, 0.7085, 0.7085)  12 Fe 2.77-2.92
Lu (0.7085, 0.2915, 0.2915)  12 Fe 2.77-2.92
Lu (0.2915, 0.7085, 0.2915)  12 Fe 2.77-2.92
Lu (0.2915, 0.2915, 0.7085)  12 Fe 2.77-2.92
Lu (0.7085, 0.2915, 0.7085)  12 Fe 2.77-2.92

E_tot ... -8.20 eV per atom
DOS at the Fermi energy ... 34.37 states/eV/f.u.


DFT formation energy? In order: 0.4220; -0.1645; -0.1847; -0.0792 eV per atom.